This record from Alexandria via LeMat-Bulk describes an optimized crystal structure of LaCoBiP2. The functional is PBE-GGA.

Cell: 4.498 5.446 4.498 Å, 90.00 90.00 90.00°
Fractional coordinates of all 5 atoms:
Bi 0.000 0.500 0.000
P 0.000 0.000 0.500
P 0.500 0.000 0.000
Co 0.000 0.000 0.000
La 0.500 0.500 0.500

space group = P4/mmm, No. 123
ρ = 7.1 g cm⁻³
energy relative to the elements = -0.18 eV per atom
electronic total energy = -0.2030 Ha/atom